First-principles (GGA+U) data for an optimized crystal structure of Ca2Mn3O8, as listed in Alexandria.

space-group type	No. 12
relative energy among the computed polymorphs	0.000	eV/atom

Unit cell a=6.3036 b=6.3036 c=5.0356 alpha=107.31 beta=107.31 gamma=56.37
Atoms (fractional coordinates):
Ca1 0.2225 0.2225 0.1626
Ca2 0.7775 0.7775 0.8374
Mn1 0.2420 0.7580 0.5000
Mn2 0.5000 0.5000 0.0000
Mn3 0.7580 0.2420 0.5000
O1 0.1036 0.1036 0.4584
O2 0.1767 0.6198 0.1085
O3 0.3802 0.8233 0.8915
O4 0.4030 0.4030 0.5966
O5 0.5970 0.5970 0.4034
O6 0.6198 0.1767 0.1085
O7 0.8233 0.3802 0.8915
O8 0.8964 0.8964 0.5416